No. 1
CsSbS2O8 after structural relaxation, computed with PBEsol.

The space group is P2_12_12_1 (No. 19) and the conventional cell measures 5.2470, 9.4837 and 15.0624 Å, with angles of 90.00, 90.00 and 90.00 degrees. Symmetry generates all atoms from Cs at (0.2434, 0.1701, 0.2543), Sb at (0.2181, 0.5006, 0.4822), S at (0.2370, 0.1693, 0.9057), S at (0.2459, 0.1612, 0.5882), O at (0.0063, 0.3725, 0.0978), O at (0.0153, 0.0743, 0.6129), O at (0.0223, 0.9257, 0.1212), O at (0.0849, 0.1094, 0.8347), O at (0.1298, 0.1345, 0.9954), O at (0.2172, 0.3309, 0.8953), O at (0.2320, 0.8238, 0.9916) and O at (0.2436, 0.2930, 0.6375).

As for the total magnetization: 0.0 μB per formula unit. The crystal system is orthorhombic. For the total DFT energy (no corrections), the calculation gives -6.2431 eV per atom. The formation energy without anion corrections comes out at -1.55 eV/atom.

---

No. 2
CsScS2O8 after structural relaxation, computed with PBEsol.

The space group is P-3m1 (No. 164) and the conventional cell measures 5.2754, 5.2754 and 8.4136 Å, with angles of 90.00, 90.00 and 120.00 degrees. Symmetry generates all atoms from Cs at (0.0000, 0.0000, 0.0000), Sc at (0.0000, 0.0000, 0.5000), S at (0.3333, 0.6667, 0.7090), O at (0.1809, 0.3618, 0.6471) and O at (0.3333, 0.6667, 0.8816).

As for the total magnetization: 0.0 μB per formula unit. The crystal system is trigonal. For the total DFT energy (no corrections), the calculation gives -6.9589 eV per atom. The formation energy without anion corrections comes out at -2.10 eV/atom.